This record from Alexandria describes a geometry-optimized NiIrRu4 structure. The functional is PBE.

Cell and atoms, written as CIF:
```
data_NiIrRu4
_chemical_formula_sum 'Ni4 Ir4 Ru16'
_cell_length_a 7.0921
_cell_length_b 7.0921
_cell_length_c 7.0921
_cell_angle_alpha 90.00
_cell_angle_beta 90.00
_cell_angle_gamma 90.00
_space_group_name_H-M_alt 'F -4 3 m'
_space_group_IT_number 216
_space_group_name_Hall 'F -4 2 3'
loop_
_atom_site_label
_atom_site_fract_x
_atom_site_fract_y
_atom_site_fract_z
Ni1 0.0000 0.0000 0.0000
Ir1 0.2500 0.2500 0.2500
Ru1 0.1252 0.1252 0.6252
```

## Properties
Formation energy from the elements   702 meV per atom